#w
{
  "formula": "Tb4In2C",
  "functional": "GGA-PBE",
  "state": "optimized geometry",
  "cell": [[-2.127, 4.247, -1.516], [-3.833, -0.820, 3.082], [0.636, 5.489, 6.285]],
  "species": ["Tb", "Tb", "Tb", "Tb", "In", "In", "C"],
  "fractional_positions": [[0.162, 0.162, 0.676], [0.000, 0.500, 0.000], [0.500, 0.000, 0.000], [0.838, 0.838, 0.324], [0.370, 0.370, 0.261], [0.630, 0.630, 0.739], [0.000, 0.000, 0.000]],
  "vol_a3_per_cell": 188.7,
  "total_magnetization_mub_per_fu": 0.000,
  "dos_ef_per_ev_fu": 2.0
}

***

#x
{
  "formula": "Tb4In2C",
  "functional": "GGA-PBE",
  "state": "optimized geometry",
  "cell": [[3.573, 0.000, 0.000], [0.000, 8.842, -1.354], [0.000, -5.412, 6.690]],
  "species": ["Tb", "Tb", "Tb", "Tb", "In", "In", "C"],
  "fractional_positions": [[0.000, 0.439, 0.221], [0.500, 0.934, 0.792], [0.000, 0.704, 0.922], [0.500, 0.208, 0.351], [0.500, 0.314, 0.812], [0.500, 0.829, 0.331], [0.000, 0.071, 0.071]],
  "vol_a3_per_cell": 185.2,
  "total_magnetization_mub_per_fu": 0.667,
  "dos_ef_per_ev_fu": 7.2
}

***

Order from most stable to least stable according to the calculation: #w, #x

***

#w
{
  "formula": "InTeC",
  "functional": "GGA-PBE",
  "state": "optimized geometry",
  "cell": [[6.045, 0.000, 0.001], [0.000, 3.665, 0.000], [-1.994, 0.000, 6.229]],
  "species": ["Te", "Te", "In", "In", "C", "C"],
  "fractional_positions": [[0.563, 0.500, 0.387], [0.747, 0.500, 0.932], [0.077, 0.000, 0.398], [0.321, 0.000, 0.870], [0.366, 0.000, 0.231], [0.858, 0.500, 0.279]],
  "vol_a3_per_cell": 138.0,
  "total_magnetization_mub_per_fu": 0.000,
  "dos_ef_per_ev_fu": 0.2
}

***

#x
{
  "formula": "InTeC",
  "functional": "GGA-PBE",
  "state": "optimized geometry",
  "cell": [[4.615, 0.000, 0.000], [0.000, 7.603, 0.000], [-4.486, 0.000, 10.151]],
  "species": ["In", "In", "In", "In", "C", "C", "C", "C", "Te", "Te", "Te", "Te"],
  "fractional_positions": [[0.507, 0.812, 0.959], [0.507, 0.688, 0.459], [0.507, 0.188, 0.959], [0.507, 0.312, 0.459], [0.657, 0.913, 0.607], [0.657, 0.413, 0.107], [0.657, 0.587, 0.107], [0.657, 0.087, 0.607], [0.836, 0.259, 0.783], [0.836, 0.741, 0.783], [0.836, 0.759, 0.283], [0.836, 0.241, 0.283]],
  "vol_a3_per_cell": 356.1,
  "total_magnetization_mub_per_fu": 0.000
}

***

Order from most stable to least stable according to the calculation: #x, #w

***

#w
{
  "formula": "InTeC",
  "functional": "GGA-PBE",
  "state": "optimized geometry",
  "cell": [[4.002, 0.002, -0.002], [0.001, 4.497, -0.001], [-1.917, -2.211, 9.794]],
  "species": ["C", "C", "In", "In", "Te", "Te"],
  "fractional_positions": [[0.799, 0.696, 0.490], [0.868, 0.764, 0.620], [0.106, 0.003, 0.120], [0.421, 0.820, 0.732], [0.506, 0.409, 0.912], [0.688, 0.587, 0.284]],
  "vol_a3_per_cell": 176.2,
  "total_magnetization_mub_per_fu": 0.000,
  "dos_ef_per_ev_fu": 0.6
}

***

#x
{
  "formula": "InTeC",
  "functional": "GGA-PBE",
  "state": "optimized geometry",
  "cell": [[3.921, 0.003, 0.002], [1.238, 5.528, 0.000], [1.699, 1.980, 6.319]],
  "species": ["Te", "Te", "In", "In", "C", "C"],
  "fractional_positions": [[0.095, 0.035, 0.420], [0.406, 0.616, 0.042], [0.497, 0.513, 0.496], [0.929, 0.141, 0.941], [0.023, 0.308, 0.587], [0.338, 0.224, 0.089]],
  "vol_a3_per_cell": 136.9,
  "total_magnetization_mub_per_fu": 0.000,
  "dos_ef_per_ev_fu": 0.2
}

***

Order from most stable to least stable according to the calculation: #w, #x

***

#w
{
  "formula": "InTeC",
  "functional": "GGA-PBE",
  "state": "optimized geometry",
  "cell": [[-5.495, -0.333, 2.835], [0.617, -9.753, 0.050], [2.129, 0.156, 4.143]],
  "species": ["C", "C", "C", "C", "Te", "Te", "Te", "Te", "In", "In", "In", "In"],
  "fractional_positions": [[0.000, 0.000, 0.604], [0.000, 0.500, 0.104], [0.500, 0.500, 0.104], [0.500, 0.000, 0.604], [0.250, 0.418, 0.375], [0.750, 0.918, 0.875], [0.750, 0.582, 0.375], [0.250, 0.082, 0.875], [0.750, 0.140, 0.371], [0.250, 0.860, 0.371], [0.250, 0.640, 0.871], [0.750, 0.360, 0.871]],
  "vol_a3_per_cell": 282.0,
  "total_magnetization_mub_per_fu": 0.000,
  "dos_ef_per_ev_fu": 1.2
}

***

#x
{
  "formula": "InTeC",
  "functional": "GGA-PBE",
  "state": "optimized geometry",
  "cell": [[-3.160, 5.038, -1.073], [-0.688, -1.314, -4.144], [-8.576, -7.931, 3.941]],
  "species": ["C", "C", "C", "C", "In", "In", "In", "In", "Te", "Te", "Te", "Te"],
  "fractional_positions": [[0.469, 0.000, 0.320], [0.557, 0.500, 0.738], [0.469, 0.500, 0.820], [0.557, 0.000, 0.238], [0.339, 0.500, 0.976], [0.204, 0.000, 0.702], [0.339, 0.000, 0.476], [0.204, 0.500, 0.202], [0.709, 0.000, 0.104], [0.709, 0.500, 0.604], [0.023, 0.000, 0.903], [0.023, 0.500, 0.403]],
  "vol_a3_per_cell": 319.2,
  "total_magnetization_mub_per_fu": 0.000
}

***

Order from most stable to least stable according to the calculation: #x, #w

***

#w
{
  "formula": "InTeC",
  "functional": "GGA-PBE",
  "state": "optimized geometry",
  "cell": [[5.629, 0.000, -0.001], [0.000, 3.708, 0.000], [-1.314, 0.000, 6.759]],
  "species": ["In", "In", "Te", "Te", "C", "C"],
  "fractional_positions": [[0.129, 0.000, 0.774], [0.189, 0.000, 0.205], [0.598, 0.500, 0.534], [0.766, 0.500, 0.065], [0.365, 0.000, 0.541], [0.885, 0.500, 0.783]],
  "vol_a3_per_cell": 141.1,
  "total_magnetization_mub_per_fu": 0.000,
  "dos_ef_per_ev_fu": 0.4
}

***

#x
{
  "formula": "InTeC",
  "functional": "GGA-PBE",
  "state": "optimized geometry",
  "cell": [[4.953, 0.000, 0.000], [-0.227, 5.681, 0.000], [-0.211, -2.131, 6.143]],
  "species": ["C", "C", "Te", "Te", "In", "In"],
  "fractional_positions": [[0.658, 0.524, 0.290], [0.482, 0.607, 0.175], [0.049, 0.008, 0.850], [0.490, 0.332, 0.507], [0.542, 0.755, 0.906], [0.080, 0.472, 0.228]],
  "vol_a3_per_cell": 172.8,
  "total_magnetization_mub_per_fu": 0.000,
  "dos_ef_per_ev_fu": 0.1
}

***

Order from most stable to least stable according to the calculation: #x, #w

***

#w
{
  "formula": "InTeC",
  "functional": "GGA-PBE",
  "state": "optimized geometry",
  "cell": [[-0.984, 3.887, 0.850], [-4.396, 1.032, 0.162], [-0.823, -2.322, 9.546]],
  "species": ["Te", "Te", "C", "C", "In", "In"],
  "fractional_positions": [[0.073, 0.046, 0.695], [0.466, 0.274, 0.075], [0.160, 0.855, 0.511], [0.210, 0.752, 0.393], [0.755, 0.692, 0.890], [0.756, 0.659, 0.279]],
  "vol_a3_per_cell": 161.9,
  "total_magnetization_mub_per_fu": 0.000,
  "dos_ef_per_ev_fu": 0.8
}

***

#x
{
  "formula": "InTeC",
  "functional": "GGA-PBE",
  "state": "optimized geometry",
  "cell": [[-4.692, 4.696, -3.486], [0.775, -1.517, -3.086], [-3.449, -11.071, 4.576]],
  "species": ["Te", "Te", "Te", "Te", "C", "C", "C", "C", "In", "In", "In", "In"],
  "fractional_positions": [[0.546, 0.500, 0.056], [0.391, 0.500, 0.735], [0.391, 0.000, 0.235], [0.546, 0.000, 0.556], [0.093, 0.500, 0.708], [0.093, 0.000, 0.208], [0.653, 0.000, 0.433], [0.653, 0.500, 0.933], [0.020, 0.000, 0.797], [0.020, 0.500, 0.297], [0.886, 0.000, 0.983], [0.886, 0.500, 0.483]],
  "vol_a3_per_cell": 274.4,
  "total_magnetization_mub_per_fu": 0.000,
  "dos_ef_per_ev_fu": 0.9
}

***

#y
{
  "formula": "InTeC",
  "functional": "GGA-PBE",
  "state": "optimized geometry",
  "cell": [[4.257, 0.013, 0.003], [-2.087, 5.345, -0.004], [0.001, -0.303, 7.104]],
  "species": ["C", "C", "In", "In", "Te", "Te"],
  "fractional_positions": [[0.145, 0.375, 0.650], [0.838, 0.374, 0.651], [0.340, 0.069, 0.717], [0.620, 0.616, 0.127], [0.309, 0.013, 0.119], [0.639, 0.674, 0.579]],
  "vol_a3_per_cell": 161.8,
  "total_magnetization_mub_per_fu": 0.000,
  "dos_ef_per_ev_fu": 0.7
}

***

Order from most stable to least stable according to the calculation: #y, #w, #x